1.
A plane-wave DFT calculation with GGA-PBE was carried out for a relaxed ScPd3I crystal.

The structure in CIF format:
```
data_ScPd3I
_chemical_formula_sum 'Sc1 Pd3 I1'
_cell_length_a 4.948
_cell_length_b 4.948
_cell_length_c 4.948
_cell_angle_alpha 90.00
_cell_angle_beta 90.00
_cell_angle_gamma 90.00
_symmetry_space_group_name_H-M 'P m -3 m'
_symmetry_Int_Tables_number 221
_symmetry_space_group_name_Hall '-P 4 2 3'
loop_
_atom_site_label
_atom_site_type_symbol
_atom_site_fract_x
_atom_site_fract_y
_atom_site_fract_z
Sc1 Sc 0.000 0.000 0.000
Pd1 Pd 0.000 0.500 0.500
I1 I 0.500 0.500 0.500
```

Properties
As for the calculated density: 6.733 g cm⁻³. For the polymorph energy (0 for the lowest one), the calculation gives 87 meV per atom. The total energy comes out at -21.38 eV per cell. The value obtained for the raw formation energy is 0.416 eV/atom. The crystal system is cubic.

=====

2.
A plane-wave DFT calculation with GGA-PBE was carried out for a relaxed DyPu2F8 crystal.

The structure in CIF format:
```
data_DyPu2F8
_chemical_formula_sum 'Dy2 Pu4 F16'
_cell_length_a 12.975
_cell_length_b 4.032
_cell_length_c 7.423
_cell_angle_alpha 90.00
_cell_angle_beta 101.33
_cell_angle_gamma 90.00
_symmetry_space_group_name_H-M 'C 1 2/m 1'
_symmetry_Int_Tables_number 12
_symmetry_space_group_name_Hall '-C 2y'
loop_
_atom_site_label
_atom_site_type_symbol
_atom_site_fract_x
_atom_site_fract_y
_atom_site_fract_z
Dy1 Dy 0.000 0.000 0.000
Pu1 Pu 0.238 0.000 0.735
F1 F 0.059 0.000 0.745
F2 F 0.073 0.500 0.133
F3 F 0.190 0.000 0.072
F4 F 0.197 0.500 0.558
```

Properties
As for the calculated density: 6.999 g cm⁻³. The total energy comes out at -177.03 eV per cell. The value obtained for the raw formation energy is -3.662 eV/atom. The crystal system is monoclinic.

=====

3.
A plane-wave DFT calculation with GGA-PBE was carried out for a relaxed HoSiNi11 crystal.

The structure in CIF format:
```
data_HoSiNi11
_chemical_formula_sum 'Ho2 Si2 Ni22'
_cell_length_a 4.670
_cell_length_b 11.560
_cell_length_c 6.197
_cell_angle_alpha 90.00
_cell_angle_beta 110.54
_cell_angle_gamma 90.00
_symmetry_space_group_name_H-M 'C 1 2/m 1'
_symmetry_Int_Tables_number 12
_symmetry_space_group_name_Hall '-C 2y'
loop_
_atom_site_label
_atom_site_type_symbol
_atom_site_fract_x
_atom_site_fract_y
_atom_site_fract_z
Ho1 Ho 0.000 0.000 0.000
Si1 Si 0.000 0.500 0.500
Ni1 Ni 0.000 0.000 0.500
Ni2 Ni 0.103 0.389 0.225
Ni3 Ni 0.168 0.177 0.354
Ni4 Ni 0.250 0.250 0.000
```

Properties
As for the calculated density: 8.891 g cm⁻³. The total energy comes out at -154.30 eV per cell. The value obtained for the raw formation energy is -0.273 eV/atom. The crystal system is monoclinic.

=====

4.
A plane-wave DFT calculation with GGA-PBE was carried out for a relaxed Na3Ce3CuO8 crystal.

The structure in CIF format:
```
data_Na3Ce3CuO8
_chemical_formula_sum 'Na6 Ce6 Cu2 O16'
_cell_length_a 11.489
_cell_length_b 7.211
_cell_length_c 6.940
_cell_angle_alpha 90.00
_cell_angle_beta 125.88
_cell_angle_gamma 90.00
_symmetry_space_group_name_H-M 'C 1 2/m 1'
_symmetry_Int_Tables_number 12
_symmetry_space_group_name_Hall '-C 2y'
loop_
_atom_site_label
_atom_site_type_symbol
_atom_site_fract_x
_atom_site_fract_y
_atom_site_fract_z
Na1 Na 0.000 0.000 0.000
Na2 Na 0.250 0.250 0.500
Ce1 Ce 0.000 0.500 0.500
Ce2 Ce 0.250 0.250 0.000
Cu1 Cu 0.000 0.000 0.500
O1 O 0.016 0.283 0.746
O2 O 0.210 0.000 0.755
O3 O 0.247 0.500 0.772
```

Properties
As for the calculated density: 4.853 g cm⁻³. The total energy comes out at -202.50 eV per cell. The value obtained for the raw formation energy is -2.382 eV/atom. The crystal system is monoclinic.

=====

5.
A plane-wave DFT calculation with GGA-PBE was carried out for a relaxed CrSbPCl2 crystal.

The structure in CIF format:
```
data_CrSbPCl2
_chemical_formula_sum 'Cr1 Sb1 P1 Cl2'
_cell_length_a 5.175
_cell_length_b 5.175
_cell_length_c 5.327
_cell_angle_alpha 90.00
_cell_angle_beta 90.00
_cell_angle_gamma 90.00
_symmetry_space_group_name_H-M 'P 4/m m m'
_symmetry_Int_Tables_number 123
_symmetry_space_group_name_Hall '-P 4 2'
loop_
_atom_site_label
_atom_site_type_symbol
_atom_site_fract_x
_atom_site_fract_y
_atom_site_fract_z
Cr1 Cr 0.000 0.000 0.000
Sb1 Sb 0.500 0.500 0.500
P1 P 0.500 0.500 0.000
Cl1 Cl 0.000 0.500 0.500
```

Properties
As for the calculated density: 3.209 g cm⁻³. For the polymorph energy (0 for the lowest one), the calculation gives 466 meV per atom. The total energy comes out at -20.57 eV per cell. The value obtained for the raw formation energy is 0.456 eV/atom. The crystal system is tetragonal.

=====

6.
A plane-wave DFT calculation with GGA-PBE was carried out for a relaxed SrSm2OsO8 crystal.

The structure in CIF format:
```
data_SrSm2OsO8
_chemical_formula_sum 'Sr1 Sm2 Os1 O8'
_cell_length_a 5.175
_cell_length_b 7.117
_cell_length_c 5.185
_cell_angle_alpha 90.00
_cell_angle_beta 91.04
_cell_angle_gamma 90.00
_symmetry_space_group_name_H-M 'P 1 2/m 1'
_symmetry_Int_Tables_number 10
_symmetry_space_group_name_Hall '-P 2y'
loop_
_atom_site_label
_atom_site_type_symbol
_atom_site_fract_x
_atom_site_fract_y
_atom_site_fract_z
Sr1 Sr 0.000 0.000 0.000
Sm1 Sm 0.500 0.244 0.500
Os1 Os 0.000 0.500 0.000
O1 O 0.182 0.312 0.181
O2 O 0.255 0.500 0.744
O3 O 0.318 0.000 0.681
```

Properties
As for the calculated density: 6.145 g cm⁻³. The total energy comes out at -89.02 eV per cell. The value obtained for the raw formation energy is -2.251 eV/atom. The crystal system is monoclinic.